[1]
Material: CeNdAs2Rh5
Method: DFT, PBE-GGA
State: relaxed

Lattice parameters (Å, degrees): 4.065 4.065 11.356 90.00 90.00 90.00
Element x y z (fractional)
Ce: 0.000 0.000 0.000
Nd: 0.500 0.500 0.500
As: 0.000 0.000 0.291
As: 0.000 0.000 0.709
Rh: 0.000 0.000 0.500
Rh: 0.000 0.500 0.176
Rh: 0.000 0.500 0.824
Rh: 0.500 0.000 0.176
Rh: 0.500 0.000 0.824

Properties
Its formation energy from the elements is -0.456 eV per atom.

[2]
Material: TlIn2Cl3
Method: DFT, PBE-GGA
State: relaxed

Lattice parameters (Å, degrees): 10.224 10.224 10.224 154.17 154.17 36.85
Element x y z (fractional)
Tl: 0.000 0.000 0.000
In: 0.333 0.333 0.000
In: 0.667 0.667 0.000
Cl: 0.169 0.169 0.000
Cl: 0.500 0.500 0.000
Cl: 0.831 0.831 0.000

Properties
The value obtained for the uncorrected formation energy is -0.866 eV per atom. The value obtained for the polymorph energy (0 for the lowest one) is 0 meV per atom.

[3]
Material: Tl2Cd2I5
Method: DFT, PBE-GGA
State: relaxed

Lattice parameters (Å, degrees): 8.606 8.606 8.703 114.01 114.01 41.70
Element x y z (fractional)
Tl: 0.112 0.112 0.289
Tl: 0.888 0.888 0.711
Cd: 0.357 0.357 0.136
Cd: 0.643 0.643 0.864
I: 0.144 0.144 0.895
I: 0.350 0.350 0.468
I: 0.500 0.500 0.000
I: 0.650 0.650 0.532
I: 0.856 0.856 0.105

Properties
The value obtained for the uncorrected formation energy is -0.502 eV per atom.

[4]
Material: Ba6Sn2PtO
Method: DFT, PBE-GGA
State: relaxed

Lattice parameters (Å, degrees): 8.186 11.578 8.189 90.00 90.00 90.00
Element x y z (fractional)
Ba: 0.012 0.250 0.013
Ba: 0.013 0.250 0.488
Ba: 0.250 0.013 0.251
Ba: 0.250 0.487 0.251
Ba: 0.487 0.250 0.488
Ba: 0.488 0.250 0.013
Ba: 0.512 0.750 0.987
Ba: 0.513 0.750 0.512
Ba: 0.750 0.513 0.749
Ba: 0.750 0.987 0.749
Ba: 0.987 0.750 0.512
Ba: 0.988 0.750 0.987
Sn: 0.250 0.000 0.750
Sn: 0.250 0.500 0.750
Sn: 0.750 0.000 0.250
Sn: 0.750 0.500 0.250
Pt: 0.250 0.750 0.249
Pt: 0.750 0.250 0.751
O: 0.250 0.250 0.250
O: 0.750 0.750 0.750

Properties
The value obtained for the uncorrected formation energy is -0.925 eV per atom.

[5]
Material: MnCuMo2
Method: DFT, PBE-GGA
State: relaxed

Lattice parameters (Å, degrees): 2.627 2.627 8.370 90.00 90.00 104.86
Element x y z (fractional)
Mn: 0.000 0.000 0.000
Cu: 0.000 0.000 0.500
Mo: 0.500 0.500 0.243
Mo: 0.500 0.500 0.757

Properties
Its formation energy from the elements is 0.192 eV per atom. The value obtained for the polymorph energy (0 for the lowest one) is 4 meV per atom.

[6]
Material: TbDy4Th4
Method: DFT, PBE-GGA
State: relaxed

Lattice parameters (Å, degrees): 7.963 7.963 7.963 95.75 95.75 143.11
Element x y z (fractional)
Tb: 0.000 0.000 0.000
Dy: 0.331 0.331 0.663
Dy: 0.331 0.669 0.000
Dy: 0.669 0.331 0.000
Dy: 0.669 0.669 0.337
Th: 0.000 0.335 0.335
Th: 0.000 0.665 0.665
Th: 0.335 0.000 0.335
Th: 0.665 0.000 0.665

Properties
Its formation energy from the elements is 0.038 eV per atom.

[7]
Material: CuGeSe2Br
Method: DFT, PBE-GGA
State: relaxed

Lattice parameters (Å, degrees): 4.837 4.837 4.908 90.00 90.00 90.00
Element x y z (fractional)
Cu: 0.000 0.000 0.000
Ge: 0.500 0.500 0.500
Se: 0.000 0.500 0.000
Se: 0.500 0.000 0.000
Br: 0.000 0.000 0.500

Properties
The value obtained for the uncorrected formation energy is 0.292 eV per atom. The value obtained for the polymorph energy (0 for the lowest one) is 0 meV per atom.

[8]
Material: NdScAu
Method: DFT, PBE-GGA
State: relaxed

Lattice parameters (Å, degrees): 4.667 4.667 7.150 90.00 90.00 90.00
Element x y z (fractional)
Nd: 0.250 0.250 0.127
Nd: 0.750 0.750 0.873
Sc: 0.250 0.750 0.500
Sc: 0.750 0.250 0.500
Au: 0.250 0.250 0.718
Au: 0.750 0.750 0.282

Properties
Its formation energy from the elements is -0.603 eV per atom. The value obtained for the polymorph energy (0 for the lowest one) is 0 meV per atom.

- Number 3 is which compound?
  Tl2Cd2I5